## NaLi6Ag12 (PBE)

Data for a relaxed structure of NaLi6Ag12.

Output
E_form in meV per atom: -41
Symmetry: R-3m

```
NaLi6Ag12
1.0
-6.394 -3.501 0.084
4.156 -4.686 -3.729
2.338 -1.113 6.814
Li Ag Na
6 12 1
Direct
0.835 0.835 0.555
0.555 0.835 0.835
0.445 0.165 0.165
0.835 0.555 0.835
0.165 0.445 0.165
0.165 0.165 0.445
0.184 0.597 0.597
0.736 0.000 0.263
0.597 0.597 0.184
0.737 0.264 0.000
0.264 0.000 0.737
0.403 0.403 0.816
0.403 0.816 0.403
0.597 0.184 0.597
0.816 0.403 0.403
0.000 0.737 0.264
0.000 0.263 0.736
0.263 0.736 0.000
0.000 0.000 0.000
```

---

## NaLi6Ag5 (PBE)

Data for a relaxed structure of NaLi6Ag5.

Output
E_form in meV per atom: -164
Symmetry: C2/m

```
NaLi6Ag5
1.0
-1.149 -0.042 -4.501
3.179 -5.579 -0.759
-6.759 -0.630 3.857
Li Na Ag
6 1 5
Direct
0.175 0.437 0.349
0.500 0.273 0.000
0.175 0.913 0.349
0.825 0.563 0.651
0.825 0.087 0.651
0.500 0.727 0.000
0.000 0.000 0.000
0.340 0.838 0.676
0.660 0.162 0.324
0.331 0.333 0.666
0.000 0.500 0.000
0.669 0.667 0.334
```

---

## NaLi2Ag6 (PBE)

Data for a relaxed structure of NaLi2Ag6.

Output
E_form in meV per atom: -77
Symmetry: C2/c

```
NaLi2Ag6
1.0
-0.616 1.458 4.677
5.602 -5.270 3.470
7.428 3.911 0.848
Na Li Ag
2 4 12
Direct
0.250 0.116 0.884
0.750 0.884 0.116
0.904 0.786 0.534
0.404 0.534 0.786
0.096 0.214 0.466
0.596 0.466 0.214
0.701 0.269 0.994
0.465 0.675 0.437
0.848 0.645 0.886
0.965 0.437 0.675
0.299 0.731 0.006
0.799 0.006 0.731
0.652 0.114 0.355
0.035 0.563 0.325
0.152 0.355 0.114
0.348 0.886 0.645
0.535 0.325 0.563
0.201 0.994 0.269
```

---

> Which of these has the lowest E_form?

NaLi6Ag5

---

Copy entry 1 word for word.
## NaLi6Ag12 (PBE)

Data for a relaxed structure of NaLi6Ag12.

Output
E_form in meV per atom: -41
Symmetry: R-3m

```
NaLi6Ag12
1.0
-6.394 -3.501 0.084
4.156 -4.686 -3.729
2.338 -1.113 6.814
Li Ag Na
6 12 1
Direct
0.835 0.835 0.555
0.555 0.835 0.835
0.445 0.165 0.165
0.835 0.555 0.835
0.165 0.445 0.165
0.165 0.165 0.445
0.184 0.597 0.597
0.736 0.000 0.263
0.597 0.597 0.184
0.737 0.264 0.000
0.264 0.000 0.737
0.403 0.403 0.816
0.403 0.816 0.403
0.597 0.184 0.597
0.816 0.403 0.403
0.000 0.737 0.264
0.000 0.263 0.736
0.263 0.736 0.000
0.000 0.000 0.000
```

---

> The highest E_form belongs to which entry?

NaLi6Ag12

---

> What is the E_form in the first record?

-41 meV per atom